This record from the Alexandria database describes crystalline BeFe2Cl at its relaxed geometry. The functional is PBE-GGA.

## Properties
- Formation energy from raw total energies: 0.232 eV per atom
- M_tot: 5.3 μB/f.u.
- Offset from the most stable computed form: 148 meV per atom
- SG: Cmm2, No. 35

a = 2.8172 Å, b = 2.8172 Å, c = 8.1768 Å
α = 90.00°, β = 90.00°, γ = 114.93°
Closest atoms and distances in Å follow each position.
Atoms (fractional coordinates):
Fe 0.5000 0.5000 0.2800  2 Be 2.32, 2 Fe 2.33
Be 0.0000 0.0000 0.4946  2 Cl 2.04
Cl 0.5000 0.5000 0.6617  2 Be 2.04
Fe 0.0000 0.0000 0.0638  2 Fe 2.33